[1]
The following is a DFT calculation (PBE-GGA) of a relaxed structure of HfInSeN2.

Structure (POSCAR):
```
HfInSeN2
1.0
-1.6248 -1.2094 3.5632
3.2577 -2.3946 0.6727
2.4204 3.9825 2.4554
Hf N Se In
1 2 1 1
direct
0.5000 0.5000 0.5000
0.0000 0.5000 0.0000
0.5000 0.0000 0.0000
0.0000 0.0000 0.5000
0.0000 0.0000 0.0000
```

E_form (uncorrected): 5.518 eV/f.u.
Excess energy over the best structure of this formula in the dataset: 1055.8 meV per atom

[2]
The following is a DFT calculation (PBE-GGA) of a relaxed structure of Hf2TaInN.

Structure (POSCAR):
```
Hf2TaInN
1.0
-0.5898 -2.2156 -3.9803
3.4497 -2.8384 1.0688
-2.6700 -2.5595 1.8204
Ta N In Hf
1 1 1 2
direct
0.0000 0.0000 0.5000
0.0000 0.0000 0.0000
0.5000 0.5000 0.5000
0.0000 0.5000 0.0000
0.5000 0.0000 0.0000
```

E_form (uncorrected): -2.957 eV/f.u.

[3]
The following is a DFT calculation (PBE-GGA) of a relaxed structure of HfInTeN2.

Structure (POSCAR):
```
HfInTeN2
1.0
-0.1408 3.9690 1.3578
-2.1644 -1.2325 3.3783
4.9273 -0.8047 2.8632
In Hf N Te
1 1 2 1
direct
0.0000 0.0000 0.0000
0.5000 0.5000 0.5000
0.0000 0.5000 0.0000
0.5000 0.0000 0.0000
0.0000 0.0000 0.5000
```

E_form (uncorrected): 6.654 eV/f.u.
Excess energy over the best structure of this formula in the dataset: 1154.4 meV per atom

[4]
The following is a DFT calculation (PBE-GGA) of a relaxed structure of HfIn2TeN.

Structure (POSCAR):
```
HfIn2TeN
1.0
5.9838 0.0000 0.0000
0.0000 3.9830 0.0000
0.0000 0.0000 5.9838
In Hf N Te
2 1 1 1
direct
0.0000 0.0000 0.5000
0.5000 0.0000 0.0000
0.0000 0.0000 0.0000
0.0000 0.5000 0.0000
0.5000 0.5000 0.5000
```

E_form (uncorrected): 0.920 eV/f.u.

[5]
The following is a DFT calculation (PBE-GGA) of a relaxed structure of HfInTeN2.

Structure (POSCAR):
```
HfInTeN2
1.0
-4.0523 -0.4998 -0.9589
0.1058 -3.8845 1.5779
-1.5420 2.1499 5.3959
In N Te Hf
1 2 1 1
direct
0.5000 0.5000 0.5000
0.5000 0.0000 0.0000
0.0000 0.5000 0.0000
0.0000 0.0000 0.5000
0.0000 0.0000 0.0000
```

E_form (uncorrected): 0.882 eV/f.u.
Excess energy over the best structure of this formula in the dataset: 0.0 meV per atom

[6]
The following is a DFT calculation (PBE-GGA) of a relaxed structure of HfTh2InN5.

Structure (POSCAR):
```
HfTh2InN5
1.0
-1.0832 1.7284 2.8156
1.6508 -6.5934 2.5359
10.0044 3.2239 1.8699
Hf N Th In
2 10 4 2
direct
0.2162 0.4324 0.9986
0.7838 0.5676 0.4986
0.4955 0.9910 0.7737
0.2820 0.5640 0.6542
0.5045 0.0090 0.2737
0.9330 0.8660 0.5669
0.2991 0.5982 0.3719
0.3647 0.7294 0.0207
0.0670 0.1340 0.0669
0.7009 0.4018 0.8719
0.6353 0.2706 0.5207
0.7180 0.4360 0.1542
0.8658 0.7317 0.7784
0.8842 0.7684 0.1882
0.1158 0.2316 0.6883
0.1342 0.2683 0.2784
0.4754 0.9508 0.4714
0.5246 0.0492 0.9714
```

E_form (uncorrected): -10.398 eV/f.u.

[7]
The following is a DFT calculation (PBE-GGA) of a relaxed structure of HfTi2InN.

Structure (POSCAR):
```
HfTi2InN
1.0
4.1841 0.0000 0.0000
0.0000 4.1841 0.0000
0.0000 0.0000 4.5322
In N Hf Ti
1 1 1 2
direct
0.5000 0.5000 0.5000
0.0000 0.0000 0.0000
0.0000 0.0000 0.5000
0.0000 0.5000 0.0000
0.5000 0.0000 0.0000
```

E_form (uncorrected): -4.149 eV/f.u.

[8]
The following is a DFT calculation (PBE-GGA) of a relaxed structure of Y2HfInN.

Structure (POSCAR):
```
Y2HfInN
1.0
-4.4711 -0.5412 1.8480
1.6592 -3.4540 3.0027
0.8872 3.0750 3.0470
In Hf Y N
1 1 2 1
direct
0.5000 0.5000 0.5000
0.0000 0.0000 0.5000
0.5000 0.0000 0.0000
0.0000 0.5000 0.0000
0.0000 0.0000 0.0000
```

E_form (uncorrected): -4.492 eV/f.u.

[9]
The following is a DFT calculation (PBE-GGA) of a relaxed structure of YHf2InN.

Structure (POSCAR):
```
YHf2InN
1.0
4.4558 0.0000 0.0000
0.0000 4.4558 0.0000
0.0000 0.0000 4.8698
N In Hf Y
1 1 2 1
direct
0.0000 0.0000 0.0000
0.5000 0.5000 0.5000
0.5000 0.0000 0.0000
0.0000 0.5000 0.0000
0.0000 0.0000 0.5000
```

E_form (uncorrected): -4.008 eV/f.u.

[10]
The following is a DFT calculation (PBE-GGA) of a relaxed structure of HfZr2InN.

Structure (POSCAR):
```
HfZr2InN
1.0
4.6087 0.0000 0.0000
0.0000 4.6087 0.0000
0.0000 0.0000 4.3159
Zr In Hf N
2 1 1 1
direct
0.0000 0.5000 0.0000
0.5000 0.0000 0.0000
0.5000 0.5000 0.5000
0.0000 0.0000 0.5000
0.0000 0.0000 0.0000
```

E_form (uncorrected): -4.091 eV/f.u.

[11]
The following is a DFT calculation (PBE-GGA) of a relaxed structure of NaHf2In.

Structure (POSCAR):
```
NaHf2In
1.0
8.1858 0.0000 0.0000
0.0000 8.1858 0.0000
4.0929 4.0929 2.8636
In Hf Na
2 4 2
direct
0.7500 0.2500 0.5000
0.0000 0.0000 0.0000
0.8750 0.8822 0.7500
0.6322 0.1250 0.2500
0.1178 0.6250 0.2500
0.3750 0.3678 0.7500
0.2500 0.7500 0.5000
0.5000 0.5000 0.0000
```

Calculated formation energy: 0.70 eV per atom

[12]
The following is a DFT calculation (PBE-GGA) of a relaxed structure of NaHf4In5.

Structure (POSCAR):
```
NaHf4In5
1.0
3.1444 0.0000 0.0000
0.0000 3.1444 0.0000
0.0000 0.0000 22.7244
In Hf Na
5 4 1
direct
0.5000 0.5000 0.1118
0.5000 0.5000 0.6933
0.5000 0.5000 0.8882
0.5000 0.5000 0.3067
0.5000 0.5000 0.5000
0.0000 0.0000 0.5970
0.0000 0.0000 0.7900
0.0000 0.0000 0.4030
0.0000 0.0000 0.2100
0.0000 0.0000 0.0000
```

Calculated formation energy: -0.13 eV per atom

[13]
The following is a DFT calculation (PBE-GGA) of a relaxed structure of NaHfNb2In.

Structure (POSCAR):
```
NaHfNb2In
1.0
-4.5980 -0.0174 -1.8864
-1.2896 -4.1223 3.1814
-1.4599 3.1803 3.5291
Nb In Na Hf
2 1 1 1
direct
0.5000 0.0000 0.0000
0.0000 0.0000 0.5000
0.5000 0.5000 0.5000
0.0000 0.5000 0.0000
0.0000 0.0000 0.0000
```

Calculated formation energy: 1.39 eV per atom

[14]
The following is a DFT calculation (PBE-GGA) of a relaxed structure of Na2HfInO.

Structure (POSCAR):
```
Na2HfInO
1.0
6.1321 0.0000 0.0000
0.0000 3.9710 0.0000
0.0000 0.0000 6.1321
Na Hf O In
2 1 1 1
direct
0.0000 0.0000 0.5000
0.5000 0.0000 0.0000
0.5000 0.5000 0.5000
0.0000 0.5000 0.0000
0.0000 0.0000 0.0000
```

E_form (uncorrected): 3.197 eV/f.u.
Excess energy over the best structure of this formula in the dataset: 677.3 meV per atom

[15]
The following is a DFT calculation (PBE-GGA) of a relaxed structure of Na2HfInO.

Structure (POSCAR):
```
Na2HfInO
1.0
4.3909 0.0000 0.0000
0.0000 5.4057 0.0000
0.0000 0.0000 4.3909
In O Hf Na
1 1 1 2
direct
0.0000 0.5000 0.0000
0.0000 0.0000 0.0000
0.5000 0.5000 0.5000
0.5000 0.0000 0.0000
0.0000 0.0000 0.5000
```

E_form (uncorrected): -0.190 eV/f.u.
Excess energy over the best structure of this formula in the dataset: 0.0 meV per atom

[16]
The following is a DFT calculation (PBE-GGA) of a relaxed structure of NaHfIn2Pt.

Structure (POSCAR):
```
NaHfIn2Pt
1.0
-3.7149 3.5023 -0.2711
-3.4321 -3.6016 0.5017
0.1561 0.5589 5.0797
Pt In Na Hf
1 2 1 1
direct
0.0000 0.0000 0.0000
0.0000 0.0000 0.5000
0.5000 0.0000 0.0000
0.0000 0.5000 0.0000
0.5000 0.5000 0.5000
```

Calculated formation energy: 0.44 eV per atom

[17]
The following is a DFT calculation (PBE-GGA) of a relaxed structure of NaHf2InRu.

Structure (POSCAR):
```
NaHf2InRu
1.0
4.9169 0.0000 0.0000
0.0000 5.3610 0.0000
0.0000 0.0000 4.9169
Ru Na Hf In
1 1 2 1
direct
0.0000 0.0000 0.0000
0.0000 0.5000 0.0000
0.5000 0.0000 0.0000
0.0000 0.0000 0.5000
0.5000 0.5000 0.5000
```

Calculated formation energy: 0.47 eV per atom

[18]
The following is a DFT calculation (PBE-GGA) of a relaxed structure of Na3HfIn3S8.

Structure (POSCAR):
```
Na3HfIn3S8
1.0
-0.6586 5.7576 -4.9265
-4.9341 -0.6626 5.7569
7.5794 2.3441 1.7263
S Na In Hf
8 3 3 1
direct
0.2500 0.0170 0.2844
0.7377 0.4753 0.7123
0.2329 0.4657 0.7155
0.7671 0.5343 0.2845
0.2623 0.5247 0.2877
0.7670 0.0170 0.2844
0.7500 0.9830 0.7156
0.2330 0.9830 0.7156
0.0000 0.0000 0.0000
0.5000 0.5000 0.0000
0.0000 0.5000 0.0000
0.5000 0.5000 0.5000
0.0000 0.5000 0.5000
0.5000 0.0000 0.5000
0.0000 0.0000 0.5000
```

E_form (uncorrected): -14.901 eV/f.u.

[19]
The following is a DFT calculation (PBE-GGA) of a relaxed structure of NaHf2InS.

Structure (POSCAR):
```
NaHf2InS
1.0
-2.3765 3.9406 -2.2018
-3.9211 -2.7467 -0.6836
-1.8076 1.4493 4.5450
Hf S Na In
2 1 1 1
direct
0.0000 0.0000 0.5000
0.5000 0.0000 0.0000
0.5000 0.5000 0.5000
0.0000 0.0000 0.0000
0.0000 0.5000 0.0000
```

E_form (uncorrected): 7.357 eV/f.u.

[20]
The following is a DFT calculation (PBE-GGA) of a relaxed structure of Na2HfInSe5.

Structure (POSCAR):
```
Na2HfInSe5
1.0
3.8004 0.0000 0.0000
-1.9002 8.9930 0.0000
0.0000 0.0000 14.2097
In Se Na Hf
2 10 4 2
direct
0.4399 0.8798 0.4278
0.5601 0.1202 0.9278
0.4977 0.9954 0.7674
0.5023 0.0046 0.2674
0.7282 0.4563 0.1682
0.0665 0.1330 0.0537
0.3668 0.7337 0.9965
0.9335 0.8670 0.5537
0.2718 0.5437 0.6682
0.7086 0.4172 0.9020
0.6332 0.2663 0.4965
0.2914 0.5828 0.4020
0.9031 0.8063 0.1554
0.1336 0.2671 0.3143
0.0969 0.1937 0.6554
0.8664 0.7329 0.8143
0.2272 0.4544 0.0387
0.7728 0.5456 0.5387
```

E_form (uncorrected): -8.202 eV/f.u.

Number 1: final energy -5.46 eV per atom, total magnetic moment 0.48 μB per cell. Number 2: final energy -9.16 eV per atom, total magnetic moment 0.00 μB per cell. Number 3: final energy -5.17 eV per atom, total magnetic moment 1.11 μB per cell. Number 4: final energy -5.20 eV per atom, total magnetic moment 0.00 μB per cell. Number 5: final energy -6.32 eV per atom, total magnetic moment 0.55 μB per cell. Number 6: final energy -8.84 eV per atom, total magnetic moment 0.00 μB per cell. Number 7: final energy -8.19 eV per atom, total magnetic moment 0.00 μB per cell. Number 8: final energy -7.69 eV per atom, total magnetic moment 0.00 μB per cell. Number 9: final energy -8.29 eV per atom, total magnetic moment 0.00 μB per cell. Number 10: final energy -8.44 eV per atom, total magnetic moment 0.00 μB per cell. Number 11: final energy -5.29 eV per atom, total magnetic moment 0.00 μB per cell. Number 12: final energy -5.61 eV per atom, total magnetic moment 0.00 μB per cell. Number 13: final energy -5.44 eV per atom, total magnetic moment 0.00 μB per cell. Number 14: final energy -3.42 eV per atom, total magnetic moment 1.00 μB per cell. Number 15: final energy -4.10 eV per atom, total magnetic moment 0.00 μB per cell. Number 16: final energy -4.12 eV per atom, total magnetic moment 0.00 μB per cell. Number 17: final energy -6.18 eV per atom, total magnetic moment 0.00 μB per cell. Number 18: final energy -4.67 eV per atom, total magnetic moment 0.00 μB per cell. Number 19: final energy -4.15 eV per atom, total magnetic moment 0.00 μB per cell. Number 20: final energy -4.55 eV per atom, total magnetic moment 0.00 μB per cell.